Density functional theory data (GGA+U) for SrCrInWO6 after structural relaxation.

For the calculated total energy, the calculation gives -6.87 eV/atom. Its calculated density is 6.919 Mg/m³.

It has space group F-43m (No. 216), with a = 8.005 Å, b = 8.005 Å, c = 8.005 Å, α = 90.00°, β = 90.00° and γ = 90.00°. The inequivalent atoms are Sr at (0.000, 0.000, 0.000), Cr at (0.250, 0.250, 0.250), In at (0.000, 0.000, 0.500), W at (0.250, 0.250, 0.750) and O at (0.005, 0.250, 0.750).